Entry from Alexandria via LeMat-Bulk: an optimized crystal structure of CuNiCl2 (PBE).

Computed properties:
Fermi-level density of states ... 4.1 states/eV/cell
ΔE_f (raw) ... -6 kJ/mol of formula units
Theoretical density ... 4.17 g cm⁻³

abc: 4.7325 4.7325 3.5735
angles: 101.25 101.25 90.59
Closest atoms and distances in Å follow each position.
Fractional positions:
1 Cu 0.0000 0.0000 0.0000  4 Cl 2.37
2 Ni 0.5000 0.5000 0.0000  4 Cl 2.37
3 Cl 0.0000 0.5000 0.0000  2 Ni 2.37, 2 Cu 2.37
4 Cl 0.5000 0.0000 0.0000  2 Ni 2.37, 2 Cu 2.37

=====

Entry from Alexandria via LeMat-Bulk: an optimized crystal structure of CuNi2Cl (PBE).

Computed properties:
Fermi-level density of states ... 7.2 states/eV/cell
ΔE_f (raw) ... 236 kJ/mol of formula units
Theoretical density ... 6.81 g cm⁻³

abc: 4.2096 4.2096 4.2096
angles: 60.00 60.00 60.00
Closest atoms and distances in Å follow each position.
Fractional positions:
1 Cu 0.0000 0.0000 0.0000  4 Cl 2.58, 4 Ni 2.58
2 Ni 0.2500 0.2500 0.2500  4 Ni 2.58, 4 Cu 2.58
3 Ni 0.5000 0.5000 0.5000  4 Cl 2.58, 4 Ni 2.58
4 Cl 0.7500 0.7500 0.7500  4 Ni 2.58, 4 Cu 2.58

=====

Entry from Alexandria via LeMat-Bulk: an optimized crystal structure of CuNi2Cl2 (PBE).

Computed properties:
Fermi-level density of states ... 2.7 states/eV/cell
ΔE_f (raw) ... 162 kJ/mol of formula units
Theoretical density ... 5.16 g cm⁻³

abc: 4.9879 4.9879 4.9879
angles: 124.43 124.43 82.49
Closest atoms and distances in Å follow each position.
Fractional positions:
1 Cu 0.0000 0.0000 0.0000  2 Cl 2.18
2 Ni 0.2500 0.7500 0.5000  4 Cl 2.34
3 Ni 0.7500 0.2500 0.5000  4 Cl 2.34
4 Cl 0.2901 0.2901 0.0000  1 Cu 2.18, 4 Ni 2.34
5 Cl 0.7099 0.7099 0.0000  1 Cu 2.18, 4 Ni 2.34

=====

no.,relative energy among the computed polymorphs (meV/atom),calculated total energy (eV/atom)
1,228,-3.41
2,451,-3.77
3,3,-3.54